1.
Compound: Th2AlGePt6
Source: the Alexandria database
Functional: PBE
Structure: optimized geometry

Properties
N(E_F)	0.50	states/eV per atom
symmetry	P-1 (2)
formation enthalpy at 0 K	-0.87	eV/atom

Cell lengths 6.462, 7.082, 7.209 Å; angles 48.61, 61.46, 83.48 degrees
Element x y z (fractional)
Ge (0.000, 0.000, 0.000)
Al (0.500, 0.500, 0.000)
Pt (0.675, 0.629, 0.519)
Pt (0.777, 0.725, 0.998)
Th (0.129, 0.730, 0.522)
Th (0.871, 0.270, 0.478)
Pt (0.325, 0.371, 0.481)
Pt (0.714, 0.180, 0.218)
Pt (0.223, 0.275, 0.002)
Pt (0.286, 0.820, 0.782)

---

2.
Compound: Sb3HIr
Source: the Alexandria database
Functional: PBE
Structure: optimized geometry

Properties
N(E_F)	0.69	states/eV per atom
symmetry	Pm-3m (221)
polymorph energy (0 for the lowest one)	0	meV/atom

Cell lengths 4.541, 4.541, 4.541 Å; angles 90.00, 90.00, 90.00 degrees
Element x y z (fractional)
H (0.000, 0.000, 0.000)
Sb (0.500, 0.000, 0.000)
Sb (0.000, 0.500, 0.000)
Ir (0.500, 0.500, 0.500)
Sb (0.000, 0.000, 0.500)

---

3.
Compound: Tl2CdGaH
Source: the Alexandria database
Functional: PBE
Structure: optimized geometry

Properties
E_tot	-11.068	eV per cell
N(E_F)	0.34	states/eV per atom
symmetry	P4/mmm (123)

Cell lengths 5.732, 5.732, 3.476 Å; angles 90.00, 90.00, 90.00 degrees
Element x y z (fractional)
Cd (0.500, 0.500, 0.500)
H (0.000, 0.000, 0.500)
Tl (0.500, 0.000, 0.000)
Ga (0.000, 0.000, 0.000)
Tl (0.000, 0.500, 0.000)

---

4.
Compound: SnGe2Au2
Source: the Alexandria database
Functional: PBE
Structure: optimized geometry

Properties
N(E_F)	0.53	states/eV per atom
symmetry	I4/mmm (139)
formation enthalpy at 0 K	0.05	eV/atom
polymorph energy (0 for the lowest one)	0	meV/atom

Cell lengths 4.147, 4.147, 6.875 Å; angles 72.45, 72.45, 90.00 degrees
Element x y z (fractional)
Au (0.610, 0.610, 0.781)
Ge (0.750, 0.250, 0.500)
Ge (0.250, 0.750, 0.500)
Sn (0.000, 0.000, 0.000)
Au (0.390, 0.390, 0.219)